Record 1
# Pr3Y8Ho2, optimized geometry, DFT PBE
data_Pr3Y8Ho2
_space_group_name_H-M_alt 'P 1'
_space_group_IT_number 1
_cell_length_a 5.711
_cell_length_b 7.774
_cell_length_c 10.795
_cell_angle_alpha 111.10
_cell_angle_beta 90.03
_cell_angle_gamma 90.00
loop_
_space_group_symop_operation_xyz
'x,y,z'
loop_
_atom_site_label
_atom_site_type_symbol
_atom_site_fract_x
_atom_site_fract_y
_atom_site_fract_z
_atom_site_occupancy
Y1 Y 0.000 0.864 0.728 1
Ho1 Ho 0.499 0.241 0.482 1
Y2 Y 0.001 0.674 0.348 1
Y3 Y 0.500 0.182 0.782 1
Pr1 Pr 0.500 0.000 0.000 1
Y4 Y 0.500 0.818 0.218 1
Y5 Y 0.500 0.401 0.218 1
Y6 Y 0.500 0.599 0.782 1
Pr2 Pr 0.000 0.293 0.000 1
Y7 Y 0.999 0.326 0.652 1
Pr3 Pr 0.000 0.707 0.000 1
Ho2 Ho 0.501 0.759 0.518 1
Y8 Y 0.000 0.136 0.272 1
# symmetry = C2/m
# distance to the lowest polymorph of the same formula = 0.1180 eV per atom
# theoretical density = 5.44 g cm⁻³
# magnetization = 0.000 μB/atom
# calculated formation energy = 0.2477 eV per atom



Record 2
# Mg2Br, optimized geometry, DFT PBE
data_Mg2Br
_space_group_name_H-M_alt 'P 1'
_space_group_IT_number 1
_cell_length_a 3.512
_cell_length_b 6.123
_cell_length_c 8.044
_cell_angle_alpha 90.00
_cell_angle_beta 90.00
_cell_angle_gamma 90.00
loop_
_space_group_symop_operation_xyz
'x,y,z'
loop_
_atom_site_label
_atom_site_type_symbol
_atom_site_fract_x
_atom_site_fract_y
_atom_site_fract_z
_atom_site_occupancy
Mg1 Mg 0.500 0.651 0.856 1
Mg2 Mg 0.000 0.849 0.356 1
Mg3 Mg 0.500 0.349 0.144 1
Br1 Br 0.500 0.500 0.500 1
Br2 Br 0.000 0.000 0.000 1
Mg4 Mg 0.000 0.151 0.644 1
# symmetry = Pnnm
# distance to the lowest polymorph of the same formula = 0.3484 eV per atom
# theoretical density = 2.47 g cm⁻³
# magnetization = 0.000 μB/atom
# formation energy (no corrections) = -0.167 eV/atom



Record 3
# MnW2Se, optimized geometry, DFT PBE
data_MnW2Se
_space_group_name_H-M_alt 'P 1'
_space_group_IT_number 1
_cell_length_a 5.157
_cell_length_b 5.157
_cell_length_c 5.157
_cell_angle_alpha 146.57
_cell_angle_beta 129.09
_cell_angle_gamma 62.28
loop_
_space_group_symop_operation_xyz
'x,y,z'
loop_
_atom_site_label
_atom_site_type_symbol
_atom_site_fract_x
_atom_site_fract_y
_atom_site_fract_z
_atom_site_occupancy
Mn1 Mn 0.521 0.521 0.000 1
W1 W 0.269 0.769 0.500 1
W2 W 0.976 0.976 0.000 1
Se1 Se 0.734 0.234 0.500 1
# symmetry = Imm2
# theoretical density = 14.35 g cm⁻³
# magnetization = 0.000 μB/atom
# formation energy (no corrections) = 0.407 eV/atom



Record 4
# PaNiHg, optimized geometry, DFT PBE
data_PaNiHg
_space_group_name_H-M_alt 'P 1'
_space_group_IT_number 1
_cell_length_a 3.173
_cell_length_b 3.173
_cell_length_c 6.232
_cell_angle_alpha 104.75
_cell_angle_beta 104.75
_cell_angle_gamma 90.00
loop_
_space_group_symop_operation_xyz
'x,y,z'
loop_
_atom_site_label
_atom_site_type_symbol
_atom_site_fract_x
_atom_site_fract_y
_atom_site_fract_z
_atom_site_occupancy
Ni1 Ni 0.671 0.671 0.341 1
Hg1 Hg 0.020 0.020 0.040 1
Pa1 Pa 0.309 0.309 0.619 1
# symmetry = I4mm
# distance to the lowest polymorph of the same formula = 0.1326 eV per atom
# theoretical density = 13.91 g cm⁻³
# magnetization = 0.000 μB/atom
# calculated formation energy = -0.1292 eV per atom



Record 5
# HoThTl, optimized geometry, DFT PBE
data_HoThTl
_space_group_name_H-M_alt 'P 1'
_space_group_IT_number 1
_cell_length_a 3.637
_cell_length_b 3.637
_cell_length_c 7.330
_cell_angle_alpha 104.36
_cell_angle_beta 104.36
_cell_angle_gamma 90.00
loop_
_space_group_symop_operation_xyz
'x,y,z'
loop_
_atom_site_label
_atom_site_type_symbol
_atom_site_fract_x
_atom_site_fract_y
_atom_site_fract_z
_atom_site_occupancy
Ho1 Ho 0.322 0.322 0.645 1
Th1 Th 0.005 0.005 0.011 1
Tl1 Tl 0.672 0.672 0.345 1
# symmetry = I4mm
# distance to the lowest polymorph of the same formula = 0.0232 eV per atom
# theoretical density = 11.00 g cm⁻³
# magnetization = 0.000 μB/atom
# calculated formation energy = -0.1100 eV per atom



Record 6
# TlTcW2, optimized geometry, DFT PBE
data_TlTcW2
_space_group_name_H-M_alt 'P 1'
_space_group_IT_number 1
_cell_length_a 2.993
_cell_length_b 4.027
_cell_length_c 5.893
_cell_angle_alpha 90.00
_cell_angle_beta 90.00
_cell_angle_gamma 90.00
loop_
_space_group_symop_operation_xyz
'x,y,z'
loop_
_atom_site_label
_atom_site_type_symbol
_atom_site_fract_x
_atom_site_fract_y
_atom_site_fract_z
_atom_site_occupancy
Tc1 Tc 0.000 0.000 0.455 1
Tl1 Tl 0.500 0.500 0.746 1
W1 W 0.500 0.500 0.253 1
W2 W 0.000 0.000 0.045 1
# symmetry = Pmm2
# distance to the lowest polymorph of the same formula = 0.0361 eV per atom
# theoretical density = 15.67 g cm⁻³
# magnetization = 0.000 μB/atom
# calculated formation energy = 0.5852 eV per atom



Record 7
# Ac4In2Rh, optimized geometry, DFT PBE
data_Ac4In2Rh
_space_group_name_H-M_alt 'P 1'
_space_group_IT_number 1
_cell_length_a 5.638
_cell_length_b 5.638
_cell_length_c 9.406
_cell_angle_alpha 107.44
_cell_angle_beta 107.44
_cell_angle_gamma 90.00
loop_
_space_group_symop_operation_xyz
'x,y,z'
loop_
_atom_site_label
_atom_site_type_symbol
_atom_site_fract_x
_atom_site_fract_y
_atom_site_fract_z
_atom_site_occupancy
Ac1 Ac 0.000 0.500 0.000 1
In1 In 0.372 0.372 0.744 1
Ac2 Ac 0.179 0.179 0.359 1
Ac3 Ac 0.500 0.000 0.000 1
Rh1 Rh 0.000 0.000 0.000 1
In2 In 0.628 0.628 0.256 1
Ac4 Ac 0.821 0.821 0.641 1
# symmetry = I4/mmm
# distance to the lowest polymorph of the same formula = 0.0918 eV per atom
# theoretical density = 7.61 g cm⁻³
# magnetization = 0.000 μB/atom
# calculated formation energy = -0.3527 eV per atom



Record 8
# Ag2AuCl, optimized geometry, DFT PBE
data_Ag2AuCl
_space_group_name_H-M_alt 'P 1'
_space_group_IT_number 1
_cell_length_a 3.386
_cell_length_b 7.280
_cell_length_c 5.839
_cell_angle_alpha 36.79
_cell_angle_beta 90.00
_cell_angle_gamma 90.00
loop_
_space_group_symop_operation_xyz
'x,y,z'
loop_
_atom_site_label
_atom_site_type_symbol
_atom_site_fract_x
_atom_site_fract_y
_atom_site_fract_z
_atom_site_occupancy
Au1 Au 0.500 0.500 0.500 1
Ag1 Ag 0.500 0.500 0.000 1
Ag2 Ag 0.000 0.000 0.000 1
Cl1 Cl 0.000 0.000 0.500 1
# symmetry = P2/m
# distance to the lowest polymorph of the same formula = 0.1530 eV per atom
# theoretical density = 8.63 g cm⁻³
# magnetization = 0.000 μB/atom
# formation energy (no corrections) = 0.023 eV/atom



Record 9
# RbCoI3, optimized geometry, DFT PBE
data_RbCoI3
_space_group_name_H-M_alt 'P 1'
_space_group_IT_number 1
_cell_length_a 8.148
_cell_length_b 9.252
_cell_length_c 11.747
_cell_angle_alpha 90.00
_cell_angle_beta 89.99
_cell_angle_gamma 90.00
loop_
_space_group_symop_operation_xyz
'x,y,z'
loop_
_atom_site_label
_atom_site_type_symbol
_atom_site_fract_x
_atom_site_fract_y
_atom_site_fract_z
_atom_site_occupancy
Co1 Co 0.957 0.905 0.551 1
I1 I 0.825 0.290 0.459 1
I2 I 0.080 0.994 0.251 1
I3 I 0.325 0.210 0.959 1
Rb1 Rb 0.540 0.096 0.244 1
Co2 Co 0.043 0.095 0.449 1
Rb2 Rb 0.460 0.904 0.756 1
Co3 Co 0.457 0.595 0.051 1
I4 I 0.811 0.323 0.037 1
Rb3 Rb 0.040 0.404 0.744 1
I5 I 0.689 0.823 0.463 1
Co4 Co 0.543 0.405 0.949 1
I6 I 0.420 0.494 0.249 1
I7 I 0.675 0.790 0.041 1
I8 I 0.311 0.177 0.537 1
I9 I 0.189 0.677 0.963 1
I10 I 0.920 0.006 0.749 1
Rb4 Rb 0.960 0.596 0.256 1
I11 I 0.580 0.506 0.751 1
I12 I 0.175 0.710 0.541 1
# symmetry = P2_1/c
# theoretical density = 3.94 g cm⁻³
# magnetization = 0.600 μB/atom
# formation energy (no corrections) = -0.599 eV/atom



Record 10
# LiCa2As4Pt3, optimized geometry, DFT PBE
data_LiCa2As4Pt3
_space_group_name_H-M_alt 'P 1'
_space_group_IT_number 1
_cell_length_a 4.319
_cell_length_b 4.319
_cell_length_c 10.504
_cell_angle_alpha 90.00
_cell_angle_beta 90.00
_cell_angle_gamma 90.00
loop_
_space_group_symop_operation_xyz
'x,y,z'
loop_
_atom_site_label
_atom_site_type_symbol
_atom_site_fract_x
_atom_site_fract_y
_atom_site_fract_z
_atom_site_occupancy
Pt1 Pt 0.000 0.500 0.128 1
As1 As 0.500 0.500 0.000 1
Ca1 Ca 0.000 0.500 0.742 1
As2 As 0.500 0.000 0.636 1
Li1 Li 0.500 0.500 0.500 1
Ca2 Ca 0.500 0.000 0.258 1
Pt2 Pt 0.500 0.000 0.872 1
As3 As 0.000 0.500 0.364 1
Pt3 Pt 0.000 0.000 0.500 1
As4 As 0.000 0.000 0.000 1
# symmetry = P-4m2
# theoretical density = 8.24 g cm⁻³
# magnetization = 0.000 μB/atom
# calculated formation energy = -0.7958 eV per atom



theoretical density of number 4 (PaNiHg)? 13.91 g cm⁻³



Which of these has the highest magnetization? RbCoI3